# Li3Co (meta-GGA SCAN, PBEsol geometry)
data_Li3Co
_chemical_formula_sum 'Li3 Co1'
_cell_length_a 2.577
_cell_length_b 2.577
_cell_length_c 9.433
_cell_angle_alpha 82.15
_cell_angle_beta 82.15
_cell_angle_gamma 60.00
_space_group_name_H-M_alt 'P 1'
_space_group_IT_number 1
loop_
_space_group_symop_operation_xyz
'x,y,z'
loop_
_atom_site_label
_atom_site_type_symbol
_atom_site_fract_x
_atom_site_fract_y
_atom_site_fract_z
Co1 Co 0.000 0.000 0.000
Li1 Li 0.741 0.741 0.776
Li2 Li 0.500 0.500 0.500
Li3 Li 0.259 0.259 0.224
# E_form ... 0.185 eV per atom
# Total moment ... 1.5 μB/cell
# Fermi-level density of states ... 0.413 states/eV per atom
# E ... -23.74 eV for the cell shown